No. 1
## Ca2ZnPt (PBE)

Data for a relaxed Ca2ZnPt crystal.

POSCAR file:
```
Ca2ZnPt
1.0
2.061 1.190 7.448
-2.061 1.190 7.448
0.000 -2.380 7.448
Ca Zn Pt
2 1 1
Cartesian
0.000 0.000 5.331 Ca
0.000 0.000 17.014 Ca
0.000 0.000 0.000 Zn
0.000 0.000 11.172 Pt
```

Values from the calculation:
- Total magnetic moment: 0.00 μB per cell
- Calculated total energy: -3.2372 eV per atom
- Crystal system: trigonal
- Density of states at the Fermi level: 0.719 states/eV/atom
- Energy of formation: -39.34 kJ/mol of atoms
- V: 27.4 Å³/atom
- ρ: 5.16 g/cm³

No. 2
## Ca2Zn2Pt (PBE)

Data for a relaxed Ca2Zn2Pt crystal.

POSCAR file:
```
Ca2Zn2Pt
1.0
6.964 0.000 0.000
0.000 6.964 0.000
0.000 0.000 4.501
Ca Zn Pt
4 4 2
Cartesian
1.280 2.202 0.000 Ca
2.202 5.684 0.000 Ca
4.762 1.280 0.000 Ca
5.684 4.762 0.000 Ca
0.899 4.381 2.251 Zn
2.583 0.899 2.251 Zn
4.381 6.065 2.251 Zn
6.065 2.583 2.251 Zn
0.000 0.000 2.251 Pt
3.482 3.482 2.251 Pt
```

Values from the calculation:
- Total magnetic moment: 0.00 μB per cell
- Calculated total energy: -2.9618 eV per atom
- Crystal system: tetragonal
- Density of states at the Fermi level: 0.562 states/eV/atom
- Energy of formation: -42.78 kJ/mol of atoms
- Energy relative to the lowest polymorph listed for this composition: 137 meV/atom
- V: 21.8 Å³/atom
- ρ: 6.18 g/cm³